# 1
Entry from Alexandria: a relaxed structure of BaSr2AlGe (PBE-GGA).

Cell and atoms, written as extended XYZ:
```
5
Lattice="6.5872 0.0000 0.0000 0.0000 5.6097 0.0000 0.0000 0.0000 6.5872" Properties=species:S:1:pos:R:3 pbc="T T T"
Sr 0.0000 0.0000 3.2936
Sr 3.2936 0.0000 0.0000
Ge 0.0000 2.8049 0.0000
Ba 0.0000 0.0000 0.0000
Al 3.2936 2.8049 3.2936
```

Results
* E_form: 0.9447 eV/atom
* crystal system: tetragonal

=====

# 2
Entry from Alexandria: a relaxed structure of ErInCu (PBE-GGA).

Cell and atoms, written as extended XYZ:
```
3
Lattice="3.3120 0.0000 0.0000 0.0000 3.3120 0.0000 -1.6560 -1.6560 5.7668" Properties=species:S:1:pos:R:3 pbc="T T T"
Er 1.6560 1.6560 4.9963
Cu 0.0000 0.0000 3.2259
In 1.6560 1.6560 1.5813
```

Results
* E_form: -0.2161 eV/atom
* crystal system: tetragonal

=====

# 3
Entry from Alexandria: a relaxed structure of CdIn3Co (PBE-GGA).

Cell and atoms, written as extended XYZ:
```
5
Lattice="5.0021 0.0000 0.0000 0.0000 5.0021 0.0000 0.0000 0.0000 5.0021" Properties=species:S:1:pos:R:3 pbc="T T T"
Cd 2.5011 2.5011 2.5011
Co 0.0000 0.0000 0.0000
In 0.0000 2.5011 0.0000
In 0.0000 0.0000 2.5011
In 2.5011 0.0000 0.0000
```

Results
* E_form: 0.0669 eV/atom
* crystal system: cubic

=====

# 4
Entry from Alexandria: a relaxed structure of K2SbPt (PBE-GGA).

Cell and atoms, written as extended XYZ:
```
4
Lattice="-1.1039 -1.8985 -2.6127 4.9827 -0.5071 -1.7368 0.6391 -4.8403 3.2470" Properties=species:S:1:pos:R:3 pbc="T T T"
K 0.0047 -0.0354 0.0237
K 0.3149 -2.3848 1.5998
Pt 2.0992 -2.4129 -1.3630
Sb 2.4187 -4.8330 0.2605
```

Results
* energy relative to the elements, uncorrected: -0.17 eV/f.u.
* crystal system: orthorhombic

=====

# 5
Entry from Alexandria: a relaxed structure of La5MgTl2 (PBE-GGA).

Cell and atoms, written as extended XYZ:
```
8
Lattice="-2.0670 6.6172 1.1651 -1.5970 0.2011 -6.8429 -2.9092 -5.0765 3.8965" Properties=species:S:1:pos:R:3 pbc="T T T"
La -2.4732 -0.6442 0.3698
La -1.8169 1.9962 -4.9988
La -2.0514 5.2024 -0.9951
La -4.3043 2.7652 -2.4693
La -1.0179 1.8948 -1.5763
Mg -5.7595 0.2284 -0.5194
Tl -3.2705 -0.5432 -3.0514
Tl -3.5069 2.6644 0.9529
```

Results
* E_form: -0.2427 eV/atom
* crystal system: tetragonal

=====

# 6
Entry from Alexandria: a relaxed structure of CuRe2Te (PBE-GGA).

Cell and atoms, written as extended XYZ:
```
4
Lattice="-4.5712 0.0580 1.5151 -1.5830 -4.5452 -0.1712 3.9662 1.8323 2.0264" Properties=species:S:1:pos:R:3 pbc="T T T"
Cu -1.8410 -0.1766 2.1067
Re 0.0000 0.0000 0.0000
Re -0.3470 -2.4783 1.2636
Te -3.0771 -2.2436 0.6719
```

Results
* energy relative to the elements, uncorrected: 2.99 eV/f.u.
* crystal system: tetragonal

=====

# 7
Entry from Alexandria: a relaxed structure of CsErMn2S4 (PBE-GGA).

Cell and atoms, written as extended XYZ:
```
8
Lattice="-2.5271 -3.4269 5.0267 3.7797 -0.4244 5.9276 -3.5688 3.5380 4.9344" Properties=species:S:1:pos:R:3 pbc="T T T"
Cs 0.0000 0.0000 0.0000
Er -1.1581 -0.1566 7.9443
Mn -0.1836 0.8664 4.8150
Mn -2.1326 -1.1796 11.0737
S -2.1263 0.1903 5.5457
S 1.0678 1.2020 7.8412
S -1.1237 -2.7341 8.3530
S -2.4503 0.7152 10.0375
```

Results
* energy relative to the elements, uncorrected: -5.85 eV/f.u.
* crystal system: orthorhombic

=====

# 8
Entry from Alexandria: a relaxed structure of CsPdAuSe2 (PBE-GGA).

Cell and atoms, written as extended XYZ:
```
10
Lattice="7.7895 0.0000 0.0000 0.0000 6.3635 0.0000 0.0000 -3.1817 6.2631" Properties=species:S:1:pos:R:3 pbc="T T T"
Cs 2.0562 3.1817 3.1315
Cs 5.7333 0.0000 3.1315
Pd 3.8948 4.7726 0.0000
Pd 3.8948 1.5909 0.0000
Au 0.0000 0.0000 0.0000
Au 0.0000 3.1817 0.0000
Se 5.5387 3.1817 5.2455
Se 5.5387 3.1817 1.0176
Se 2.2508 0.0000 5.2455
Se 2.2508 0.0000 1.0176
```

Results
* energy relative to the elements, uncorrected: -2.54 eV/f.u.
* crystal system: orthorhombic